No. 1
VASP calculation (PBE-GGA) on a geometry-optimized La2Ir structure.

Results
DOS(E_F): 12.0 states/eV per cell
E_tot: -6.83 eV/atom
Formation energy from the elements: -1.79 eV per formula unit

Unit cell a=7.1782 b=7.1782 c=7.1782 alpha=90.00 beta=90.00 gamma=90.00
Closest atoms and distances in Å follow each position.
Space group Pa-3 (No. 205)
One atom of each set of equivalent atoms:
1 La 0.1728 0.1728 0.1728 [8 per cell]  3 Ir 2.93
2 Ir 0.0000 0.0000 0.5000 [4 per cell]  6 La 2.93



No. 2
VASP calculation (PBE-GGA) on a geometry-optimized Tb6SmDy12 structure.

Results
DOS(E_F): 76.2 states/eV per cell
E_tot: -4.17 eV/atom
Formation energy from the elements: 8.42 eV per formula unit

Unit cell a=15.2118 b=15.2118 c=9.7631 alpha=90.00 beta=90.00 gamma=120.00
Closest atoms and distances in Å follow each position.
Space group R-3m (No. 166, hexagonal axes)
One atom of each set of equivalent atoms:
1 Tb 0.0456 0.5228 0.2003 [18 per cell]  3 Dy 2.99-3.29
2 Sm 0.0000 0.0000 0.0000 [3 per cell]  6 Dy 3.47
3 Dy 0.0000 0.3912 0.5000 [18 per cell]  4 Tb 3.29-3.41, 3 Dy 3.31-3.59
4 Dy 0.0700 0.1401 0.3009 [18 per cell]  1 Tb 2.99, 2 Dy 3.20



No. 3
VASP calculation (PBE-GGA) on a geometry-optimized Rb2SrAg2Br7 structure.

Results
DOS(E_F): 9.7 states/eV per cell
E_tot: -2.92 eV/atom
Formation energy from raw total energies: -1350.7 kJ/mol of formula units

Unit cell a=5.4393 b=5.4393 c=27.6410 alpha=90.00 beta=90.00 gamma=90.00
Closest atoms and distances in Å follow each position.
Space group I4/mmm (No. 139)
One atom of each set of equivalent atoms:
1 Rb 0.0000 0.0000 0.1785 [4 per cell]  5 Br 3.44-3.83
2 Sr 0.0000 0.0000 0.0000 [2 per cell]  12 Br 3.52-3.85
3 Ag 0.0000 0.0000 0.4006 [4 per cell]  6 Br 2.70-2.77
4 Br 0.0000 0.0000 0.3030 [4 per cell]  1 Ag 2.70
5 Br 0.0000 0.0000 0.5000 [2 per cell]  2 Ag 2.75
6 Br 0.0000 0.5000 0.0811 [8 per cell]  2 Ag 2.77